No. 1
This record from the Alexandria database describes a geometry-optimized Al3Fe structure. The functional is PBE.

a = 8.551 Å, b = 8.551 Å, c = 8.551 Å
α = 19.06°, β = 19.06°, γ = 19.06°
Atoms (fractional coordinates):
1 Al 0.741 0.741 0.741
2 Al 0.500 0.500 0.500
3 Fe 0.000 0.000 0.000
4 Al 0.259 0.259 0.259

- density (g cm⁻³) = 3.90
- M_tot (μB/f.u.) = 1.40
- raw total energy (eV per atom) = -5.01

No. 2
This record from the Alexandria database describes a geometry-optimized Hg5As2I2 structure. The functional is PBE.

a = 4.797 Å, b = 7.441 Å, c = 9.835 Å
α = 99.27°, β = 119.14°, γ = 90.00°
Atoms (fractional coordinates):
1 As 0.708 0.061 0.707
2 Hg 0.303 0.215 0.802
3 Hg 0.393 0.613 0.394
4 I 0.679 0.342 0.178
5 Hg 0.607 0.387 0.606
6 As 0.292 0.939 0.293
7 Hg 0.697 0.785 0.198
8 Hg 0.000 0.000 0.000
9 I 0.321 0.658 0.822

- density (g cm⁻³) = 7.75
- formation energy (no corrections) (eV per atom) = 0.0052
- M_tot (μB/f.u.) = 0.00

No. 3
This record from the Alexandria database describes a geometry-optimized PtW2Br structure. The functional is PBE.

a = 4.398 Å, b = 2.844 Å, c = 5.534 Å
α = 75.09°, β = 90.00°, γ = 90.00°
Atoms (fractional coordinates):
1 W 0.500 0.432 0.262
2 Br 0.000 0.315 0.496
3 W 0.000 0.073 0.978
4 Pt 0.500 0.680 0.765

- density (g cm⁻³) = 15.96
- formation energy (no corrections) (eV per atom) = 0.6838
- M_tot (μB/f.u.) = 0.00

No. 4
This record from the Alexandria database describes a geometry-optimized Zn2AgMo structure. The functional is PBE.

a = 4.371 Å, b = 2.703 Å, c = 5.426 Å
α = 75.48°, β = 90.00°, γ = 90.00°
Atoms (fractional coordinates):
1 Mo 0.500 0.794 0.787
2 Zn 0.500 0.057 0.261
3 Zn 0.000 0.198 0.979
4 Ag 0.000 0.451 0.473

- density (g cm⁻³) = 8.95
- M_tot (μB/f.u.) = 0.00
- raw total energy (eV per atom) = -3.86

No. 5
This record from the Alexandria database describes a geometry-optimized BaIn structure. The functional is PBE.

a = 13.297 Å, b = 4.894 Å, c = 7.568 Å
α = 90.00°, β = 90.00°, γ = 90.00°
Atoms (fractional coordinates):
1 Ba 0.500 0.500 0.414
2 Ba 0.697 0.000 0.695
3 In 0.500 0.500 0.922
4 In 0.612 0.000 0.138
5 Ba 0.000 0.000 0.914
6 In 0.112 0.500 0.638
7 Ba 0.303 0.000 0.695
8 Ba 0.803 0.500 0.195
9 In 0.388 0.000 0.138
10 In 0.888 0.500 0.638
11 In 0.000 0.000 0.422
12 Ba 0.197 0.500 0.195

- density (g cm⁻³) = 5.10
- M_tot (μB/f.u.) = 0.00
- raw total energy (eV per atom) = -2.67

No. 6
This record from the Alexandria database describes a geometry-optimized CePuN structure. The functional is PBE.

a = 3.093 Å, b = 3.093 Å, c = 6.450 Å
α = 103.87°, β = 103.87°, γ = 90.00°
Atoms (fractional coordinates):
1 N 0.341 0.341 0.681
2 Pu 0.944 0.944 0.888
3 Ce 0.715 0.715 0.430

- density (g cm⁻³) = 11.39
- formation energy (no corrections) (eV per atom) = -0.3941
- M_tot (μB/f.u.) = 5.91

> Look up the density of the second one.

7.75 g cm⁻³